The following is a DFT calculation (GGA-PBE) of an optimized crystal structure of Cs2K6AsAu.

## Properties
Energy relative to the elements in eV per atom: -0.1219

Cell: 9.199 9.199 13.019 Å, 90.00 90.00 90.00°
Space group I4/mmm (No. 139)
Asymmetric unit:
Cs: 0.000 0.500 0.250
K: 0.000 0.000 0.245
K: 0.245 0.245 0.000
As: 0.000 0.000 0.000
Au: 0.000 0.000 0.500